LiAs2Os | Alexandria | GGA-PBE | relaxed; SG = Imm2; E_form = -0.12 eV per atom; calculated density = 8.468 g/cm3; excess energy over the best structure of this formula in the dataset = 0.0085 eV per atom
1.0
-1.5203 1.5415 7.2590
1.5203 -1.5415 7.2590
1.5203 1.5415 -7.2590
Li As Os
1 2 1
Direct
0.0000 0.0000 0.0000
0.3827 0.3827 0.0000
0.6521 0.1521 0.5000
0.2460 0.7460 0.5000